# 1
Below is TaCrFeSi after structural relaxation, with properties calculated at the PBE-GGA level.

The value obtained for the uncorrected energy is -145.643 eV per cell. As for the total magnetic moment: 1.02 μB per formula unit.

It has space group F-43m (No. 216), with a = 5.899 Å, b = 5.899 Å, c = 5.899 Å, α = 90.00°, β = 90.00° and γ = 90.00°. The asymmetric unit holds Ta at (0.000, 0.000, 0.000), Cr at (0.250, 0.250, 0.750), Fe at (0.250, 0.250, 0.250) and Si at (0.000, 0.000, 0.500).

***

# 2
Below is BiHPt3 after structural relaxation, with properties calculated at the PBE-GGA level.

The value obtained for the uncorrected energy is -24.898 eV per cell. The calculation puts the relative energy among the computed polymorphs at 0.119 eV per atom. As for the total magnetic moment: 0.00 μB per formula unit.

It has space group Pm-3m (No. 221), with a = 4.242 Å, b = 4.242 Å, c = 4.242 Å, α = 90.00°, β = 90.00° and γ = 90.00°. The asymmetric unit holds Bi at (0.000, 0.000, 0.000), H at (0.500, 0.500, 0.500) and Pt at (0.000, 0.500, 0.500).

***

# 3
Below is BaCeHgAu after structural relaxation, with properties calculated at the PBE-GGA level.

The value obtained for the uncorrected energy is -51.883 eV per cell. For the calculated formation energy, the calculation gives -1.54 eV per formula unit. As for the total magnetic moment: 1.18 μB per formula unit.

It has space group F-43m (No. 216), with a = 7.875 Å, b = 7.875 Å, c = 7.875 Å, α = 90.00°, β = 90.00° and γ = 90.00°. The asymmetric unit holds Ba at (0.000, 0.000, 0.000), Ce at (0.000, 0.000, 0.500), Hg at (0.250, 0.250, 0.750) and Au at (0.250, 0.250, 0.250).